Record 1
## Li2O (meta-GGA SCAN)

Data for a PBEsol-optimized structure of Li2O.

a b c (Å): 5.0551 3.0875 5.8257
angles (deg): 90.00 90.00 90.00
Fractional positions:
Li 0.0120 0.2500 0.1600
Li 0.1416 0.2500 0.5797
Li 0.3584 0.7500 0.0797
Li 0.4880 0.7500 0.6600
Li 0.5120 0.2500 0.3400
Li 0.6416 0.2500 0.9203
Li 0.8584 0.7500 0.4203
Li 0.9880 0.7500 0.8400
O 0.2459 0.7500 0.3994
O 0.2541 0.2500 0.8994
O 0.7459 0.7500 0.1006
O 0.7541 0.2500 0.6006

Properties
Space-group type: Pnma
Raw total energy, eV/atom: -5.6043
Density of states at the Fermi level, states/eV per cell: 0.000
Energy above the most stable polymorph in this dataset, meV/atom: 89.0
Formation energy (no corrections), eV/atom: -1.93
Size of the total moment, μB per formula unit: 0.00

=====

Record 2
## TcOsNO2 (meta-GGA SCAN)

Data for a PBEsol-optimized structure of TcOsNO2.

a b c (Å): 3.8901 3.8901 3.8168
angles (deg): 90.00 90.00 90.00
Fractional positions:
Tc 0.0000 0.0000 0.0000
Os 0.5000 0.5000 0.5000
N 0.5000 0.5000 0.0000
O 0.0000 0.5000 0.5000
O 0.5000 0.0000 0.5000

Properties
Space-group type: P4/mmm
Raw total energy, eV/atom: -25.4688
Density of states at the Fermi level, states/eV per cell: 2.284
Formation energy (no corrections), eV/atom: 0.27
Size of the total moment, μB per formula unit: 3.95